Compound: Al2InF7
Source: Alexandria
Functional: PBE
Structure: relaxed

Calculated values
Space-group type: No. 65
Calculated volume in A^3/atom: 13.8
Energy relative to the elements, uncorrected in eV/atom: -3.023

abc: 3.539 6.942 6.942
angles: 125.74 90.00 90.00
Fractional positions:
Al (0.500, 0.648, 0.352)
Al (0.500, 0.352, 0.648)
F (0.500, 0.921, 0.631)
F (0.500, 0.369, 0.079)
F (0.500, 0.079, 0.369)
F (0.500, 0.631, 0.921)
F (0.000, 0.318, 0.682)
F (0.500, 0.500, 0.500)
F (0.000, 0.682, 0.318)
In (0.000, 0.000, 0.000)

***

Compound: Zr2MoWN
Source: Alexandria
Functional: PBE
Structure: relaxed

Calculated values
Space-group type: No. 123
Calculated volume in A^3/atom: 16.7
Energy relative to the elements, uncorrected in eV/atom: -0.404

abc: 4.611 3.923 4.611
angles: 90.00 90.00 90.00
Fractional positions:
N (0.000, 0.000, 0.000)
W (0.000, 0.500, 0.000)
Zr (0.500, 0.000, 0.000)
Zr (0.000, 0.000, 0.500)
Mo (0.500, 0.500, 0.500)

***

Compound: MnCo
Source: Alexandria
Functional: PBE
Structure: relaxed

Calculated values
Energy of formation from the pure elements in eV/atom: 0.045
Space-group type: No. 187
Calculated volume in A^3/atom: 10.5

abc: 2.474 2.474 3.944
angles: 90.00 90.00 120.00
Fractional positions:
Mn (0.333, 0.667, 0.500)
Co (0.000, 0.000, 0.000)

***

Compound: CoSb2Rh
Source: Alexandria
Functional: PBE
Structure: relaxed

Calculated values
Offset from the most stable computed form in meV per atom: 140.3
Space-group type: No. 166
Calculated volume in A^3/atom: 17.8
Energy relative to the elements, uncorrected in eV/atom: 0.008

abc: 7.951 7.951 7.951
angles: 23.67 23.67 23.67
Fractional positions:
Co (0.250, 0.250, 0.250)
Sb (0.504, 0.504, 0.504)
Sb (0.996, 0.996, 0.996)
Rh (0.750, 0.750, 0.750)

***

Compound: RbPtRhBr6
Source: Alexandria
Functional: PBE
Structure: relaxed

Calculated values
Space-group type: No. 149
Calculated volume in A^3/atom: 34.4
Energy relative to the elements, uncorrected in eV/atom: -0.529

abc: 6.812 6.812 7.698
angles: 90.00 90.00 60.00
Fractional positions:
Br (0.983, 0.375, 0.315)
Br (0.375, 0.983, 0.685)
Br (0.642, 0.375, 0.685)
Br (0.375, 0.642, 0.315)
Br (0.642, 0.983, 0.315)
Br (0.983, 0.642, 0.685)
Pt (0.333, 0.333, 0.500)
Rh (0.667, 0.667, 0.500)
Rb (0.000, 0.000, 0.000)

***

Compound: Sr2ScBr
Source: Alexandria
Functional: PBE
Structure: relaxed

Calculated values
Offset from the most stable computed form in meV per atom: 275.0
Space-group type: No. 71
Calculated volume in A^3/atom: 39.8
Energy relative to the elements, uncorrected in eV/atom: -0.252

abc: 6.997 6.997 6.997
angles: 146.96 120.24 70.01
Fractional positions:
Sc (0.750, 0.250, 0.500)
Br (0.250, 0.750, 0.500)
Sr (0.461, 0.461, 0.000)
Sr (0.039, 0.039, 0.000)

***

Compound: MgFeNi2
Source: Alexandria
Functional: PBE
Structure: relaxed

Calculated values
Energy of formation from the pure elements in eV/atom: 0.030
Space-group type: No. 44
Calculated volume in A^3/atom: 12.7

abc: 4.908 4.908 4.908
angles: 145.10 130.67 61.84
Fractional positions:
Ni (0.747, 0.247, 0.500)
Ni (0.990, 0.990, 0.000)
Mg (0.248, 0.748, 0.500)
Fe (0.514, 0.514, 0.000)

***

Compound: FeNi2PbN
Source: Alexandria
Functional: PBE
Structure: relaxed

Calculated values
Space-group type: No. 123
Calculated volume in A^3/atom: 12.6
Energy relative to the elements, uncorrected in eV/atom: 0.140

abc: 4.006 4.006 3.922
angles: 90.00 90.00 90.00
Fractional positions:
Ni (0.500, 0.000, 0.000)
Ni (0.000, 0.500, 0.000)
N (0.000, 0.000, 0.000)
Fe (0.000, 0.000, 0.500)
Pb (0.500, 0.500, 0.500)

***

Compound: TlTcSbO6
Source: Alexandria
Functional: PBE
Structure: relaxed

Calculated values
Space-group type: No. 149
Calculated volume in A^3/atom: 16.6
Energy relative to the elements, uncorrected in eV/atom: -1.229

abc: 5.387 5.387 5.951
angles: 90.00 90.00 60.00
Fractional positions:
O (0.415, 0.597, 0.310)
O (0.597, 0.988, 0.310)
O (0.415, 0.988, 0.690)
O (0.988, 0.597, 0.690)
O (0.597, 0.415, 0.690)
O (0.988, 0.415, 0.310)
Sb (0.333, 0.333, 0.500)
Tc (0.667, 0.667, 0.500)
Tl (0.000, 0.000, 0.000)

***

Compound: La8Cu2Tc
Source: Alexandria
Functional: PBE
Structure: relaxed

Calculated values
Offset from the most stable computed form in meV per atom: 41.7
Energy of formation from the pure elements in eV/atom: 0.016
Space-group type: No. 8
Calculated volume in A^3/atom: 32.0

abc: 6.607 7.825 7.825
angles: 108.57 103.50 103.50
Fractional positions:
La (0.604, 0.359, 0.086)
La (0.336, 0.916, 0.650)
La (0.604, 0.086, 0.359)
La (0.984, 0.173, 0.837)
La (0.795, 0.636, 0.636)
La (0.336, 0.650, 0.916)
La (0.194, 0.370, 0.370)
La (0.984, 0.837, 0.173)
Cu (0.484, 0.319, 0.691)
Cu (0.484, 0.691, 0.319)
Tc (0.196, 0.997, 0.997)

***

Compound: BiH6Pd12
Source: Alexandria
Functional: PBE
Structure: relaxed

Calculated values
Space-group type: No. 166
Electronic total energy in eV for the cell shown: -84.80
Calculated volume in A^3/atom: 13.1

abc: 6.538 6.538 6.538
angles: 104.02 104.02 104.02
Fractional positions:
Pd (0.183, 0.451, 0.451)
Pd (0.131, 0.500, 0.869)
Pd (0.817, 0.549, 0.549)
Pd (0.549, 0.817, 0.549)
Pd (0.500, 0.131, 0.869)
Pd (0.549, 0.549, 0.817)
Pd (0.869, 0.500, 0.131)
Pd (0.451, 0.183, 0.451)
Pd (0.500, 0.869, 0.131)
Pd (0.451, 0.451, 0.183)
Pd (0.131, 0.869, 0.500)
Pd (0.869, 0.131, 0.500)
H (0.161, 0.161, 0.498)
H (0.839, 0.502, 0.839)
H (0.498, 0.161, 0.161)
H (0.161, 0.498, 0.161)
H (0.502, 0.839, 0.839)
H (0.839, 0.839, 0.502)
Bi (0.000, 0.000, 0.000)

***

Compound: Tb3Ag5Se12
Source: Alexandria
Functional: PBE
Structure: relaxed

Calculated values
Space-group type: No. 230
Calculated volume in A^3/atom: 26.2
Energy relative to the elements, uncorrected in eV/atom: -0.541

abc: 13.964 13.964 13.964
angles: 109.47 109.47 109.47
Fractional positions:
Tb (0.250, 0.125, 0.375)
Tb (0.625, 0.250, 0.375)
Tb (0.750, 0.875, 0.625)
Tb (0.375, 0.750, 0.625)
Tb (0.750, 0.375, 0.125)
Tb (0.125, 0.250, 0.875)
Tb (0.875, 0.750, 0.125)
Tb (0.625, 0.375, 0.750)
Tb (0.250, 0.625, 0.875)
Tb (0.125, 0.875, 0.750)
Tb (0.375, 0.625, 0.250)
Tb (0.875, 0.125, 0.250)
Se (0.136, 0.418, 0.087)
Se (0.283, 0.864, 0.951)
Se (0.582, 0.864, 0.413)
Se (0.217, 0.668, 0.082)
Se (0.783, 0.332, 0.918)
Se (0.582, 0.717, 0.668)
Se (0.364, 0.413, 0.082)
Se (0.082, 0.913, 0.364)
Se (0.913, 0.832, 0.549)
Se (0.587, 0.951, 0.668)
Se (0.783, 0.451, 0.364)
Se (0.217, 0.549, 0.636)
Se (0.413, 0.364, 0.582)
Se (0.087, 0.918, 0.136)
Se (0.717, 0.582, 0.168)
Se (0.918, 0.087, 0.636)
Se (0.418, 0.136, 0.587)
Se (0.918, 0.832, 0.783)
Se (0.636, 0.587, 0.918)
Se (0.136, 0.717, 0.549)
Se (0.168, 0.087, 0.951)
Se (0.413, 0.049, 0.332)
Se (0.418, 0.283, 0.332)
Se (0.283, 0.418, 0.832)
Se (0.951, 0.364, 0.283)
Se (0.451, 0.668, 0.087)
Se (0.082, 0.168, 0.217)
Se (0.864, 0.582, 0.913)
Se (0.717, 0.136, 0.049)
Se (0.451, 0.783, 0.864)
Se (0.364, 0.951, 0.783)
Se (0.832, 0.918, 0.283)
Se (0.549, 0.217, 0.136)
Se (0.087, 0.168, 0.451)
Se (0.168, 0.082, 0.717)
Se (0.913, 0.082, 0.864)
Se (0.636, 0.049, 0.217)
Se (0.832, 0.913, 0.049)
Se (0.668, 0.451, 0.587)
Se (0.549, 0.332, 0.913)
Se (0.951, 0.587, 0.168)
Se (0.587, 0.636, 0.418)
Se (0.049, 0.636, 0.717)
Se (0.864, 0.283, 0.451)
Se (0.332, 0.549, 0.413)
Se (0.049, 0.413, 0.832)
Se (0.668, 0.217, 0.582)
Se (0.332, 0.783, 0.418)
Ag (0.375, 0.250, 0.125)
Ag (0.500, 0.500, 0.500)
Ag (0.875, 0.625, 0.750)
Ag (0.500, 0.000, 0.500)
Ag (0.000, 0.500, 0.000)
Ag (0.500, 0.500, 0.000)
Ag (0.375, 0.125, 0.750)
Ag (0.750, 0.125, 0.875)
Ag (0.125, 0.750, 0.375)
Ag (0.750, 0.625, 0.375)
Ag (0.000, 0.500, 0.500)
Ag (0.250, 0.375, 0.625)
Ag (0.625, 0.750, 0.875)
Ag (0.250, 0.875, 0.125)
Ag (0.125, 0.375, 0.250)
Ag (0.500, 0.000, 0.000)
Ag (0.000, 0.000, 0.500)
Ag (0.875, 0.250, 0.625)
Ag (0.625, 0.875, 0.250)
Ag (0.000, 0.000, 0.000)

***

- The highest calculated volume belongs to which entry?
  Sr2ScBr